Entry 1:
Pm6Te3As2Se | PBE | optimized geometry

Its total magnetic moment is 0.00 Bohr magnetons per cell. Its density is 7.04 Mg/m³. The value obtained for the density of states at the Fermi level is 4.636 states/eV/f.u.

It has space group C2/m (No. 12), with a = 19.120 Å, b = 4.305 Å, c = 8.791 Å, α = 90.00°, β = 105.06° and γ = 90.00°. The asymmetric unit holds Pm at (0.009, 0.000, 0.237), Pm at (0.163, 0.500, 0.104), Pm at (0.174, 0.500, 0.566), Te at (0.000, 0.500, 0.500), Te at (0.165, 0.000, 0.833), As at (0.167, 0.000, 0.333) and Se at (0.000, 0.500, 0.000).



Entry 2:
SmThB12 | PBE | optimized geometry

For the energy relative to the elements, the calculation gives -0.47 eV/atom. Its total magnetic moment is 0.00 Bohr magnetons per cell. Its density is 6.10 Mg/m³. The value obtained for the density of states at the Fermi level is 2.098 states/eV/f.u.

It has space group P4/mmm (No. 123), with a = 4.114 Å, b = 4.114 Å, c = 8.236 Å, α = 90.00°, β = 90.00° and γ = 90.00°. The asymmetric unit holds Sm at (0.000, 0.000, 0.000), Th at (0.000, 0.000, 0.500), B at (0.198, 0.500, 0.250), B at (0.500, 0.500, 0.099) and B at (0.500, 0.500, 0.401).



Entry 3:
MgPb2Au | PBE | optimized geometry

For the energy relative to the elements, the calculation gives -0.03 eV/atom. Its total magnetic moment is 0.00 Bohr magnetons per cell. Its density is 10.43 Mg/m³. The value obtained for the density of states at the Fermi level is 1.582 states/eV/f.u.

It has space group P4/mmm (No. 123), with a = 3.751 Å, b = 3.751 Å, c = 7.191 Å, α = 90.00°, β = 90.00° and γ = 90.00°. The asymmetric unit holds Mg at (0.000, 0.000, 0.000), Pb at (0.500, 0.500, 0.264) and Au at (0.000, 0.000, 0.500).



Entry 4:
KCa2Au | PBE | optimized geometry

For the energy relative to the elements, the calculation gives -0.28 eV/atom. Its total magnetic moment is 0.00 Bohr magnetons per cell. Its density is 3.15 Mg/m³. The value obtained for the density of states at the Fermi level is 3.004 states/eV/f.u.

It has space group Imm2 (No. 44), with a = 3.911 Å, b = 4.173 Å, c = 20.415 Å, α = 90.00°, β = 90.00° and γ = 90.00°. The asymmetric unit holds K at (0.000, 0.000, 0.000), Ca at (0.000, 0.000, 0.334), Ca at (0.000, 0.500, 0.177) and Au at (0.000, 0.500, 0.725).



Entry 5:
Al3BC | PBE | optimized geometry

For the energy relative to the elements, the calculation gives -0.10 eV/atom. Its total magnetic moment is 0.00 Bohr magnetons per cell. Its density is 2.81 Mg/m³.

It has space group P6_3/mmc (No. 194), with a = 3.5007 Å, b = 3.5007 Å, c = 11.5612 Å, α = 90.00°, β = 90.00° and γ = 120.00°. The asymmetric unit holds Al at (0.0000, 0.0000, 0.2500), Al at (0.3333, 0.6667, 0.0756), B at (0.0000, 0.0000, 0.0000) and C at (0.3333, 0.6667, 0.2500).



Entry 6:
Ce3Si4Ge2 | PBE | optimized geometry

Its total magnetic moment is 0.00 Bohr magnetons per cell. Its density is 6.12 Mg/m³. The value obtained for the density of states at the Fermi level is 10.274 states/eV/f.u.

It has space group C2/m (No. 12), with a = 10.929 Å, b = 4.141 Å, c = 8.311 Å, α = 90.00°, β = 101.83° and γ = 90.00°. The asymmetric unit holds Ce at (0.000, 0.000, 0.000), Ce at (0.165, 0.500, 0.668), Si at (0.054, 0.000, 0.394), Si at (0.225, 0.500, 0.050) and Ge at (0.113, 0.500, 0.275).



Entry 7:
Ba3Cu2Pt7 | PBE | optimized geometry

For the energy relative to the elements, the calculation gives -0.61 eV/atom. Its total magnetic moment is 0.00 Bohr magnetons per cell. Its density is 12.95 Mg/m³. The value obtained for the density of states at the Fermi level is 4.997 states/eV/f.u.

It has space group R-3m (No. 166, hexagonal axes), with a = 5.6447 Å, b = 5.6447 Å, c = 26.5463 Å, α = 90.00°, β = 90.00° and γ = 120.00°. The asymmetric unit holds Ba at (0.0000, 0.0000, 0.0000), Ba at (0.0000, 0.0000, 0.1406), Cu at (0.0000, 0.0000, 0.3327), Pt at (0.0000, 0.0000, 0.5000) and Pt at (0.0001, 0.5001, 0.0782).



Entry 8:
Ce2NbZn2Rh5 | PBE | optimized geometry

For the energy relative to the elements, the calculation gives -0.53 eV/atom. Its total magnetic moment is 1.40 Bohr magnetons per cell. Its density is 9.67 Mg/m³. The value obtained for the density of states at the Fermi level is 11.143 states/eV/f.u.

It has space group P4/mbm (No. 127), with a = 9.868 Å, b = 9.868 Å, c = 3.591 Å, α = 90.00°, β = 90.00° and γ = 90.00°. The asymmetric unit holds Ce at (0.172, 0.328, 0.000), Nb at (0.000, 0.000, 0.000), Zn at (0.125, 0.625, 0.000), Rh at (0.000, 0.500, 0.500) and Rh at (0.070, 0.801, 0.500).



Calculated VASP energy, -5.81, -7.06, -3.11, -2.38, -5.53, -6.02, -5.30, -6.66 eV per atom (same order as the records).